{
  "formula": "Pm7Ag2Bi2",
  "functional": "PBE-GGA",
  "state": "relaxed",
  "lattice_angstrom": [[-3.571, -2.263, 6.010], [4.198, -5.581, 0.393], [5.306, 4.194, 2.874]],
  "species": ["Ag", "Ag", "Bi", "Bi", "Pm", "Pm", "Pm", "Pm", "Pm", "Pm", "Pm"],
  "frac_coords": [[0.274, 0.000, 0.726], [0.726, 0.000, 0.274], [0.187, 0.500, 0.187], [0.813, 0.500, 0.813], [0.000, 0.262, 0.500], [0.500, 0.262, 0.000], [0.000, 0.000, 0.000], [0.500, 0.245, 0.500], [0.000, 0.738, 0.500], [0.500, 0.755, 0.500], [0.500, 0.738, 0.000]],
  "space_group": "Cmmm, No. 65",
  "rho_kg_m3": 7408,
  "e_form_ev_per_atom": -0.13
}

=====

{
  "formula": "CaAcNdMg",
  "functional": "PBE-GGA",
  "state": "relaxed",
  "lattice_angstrom": [[3.828, 0.000, 0.000], [0.000, 3.828, 0.000], [0.000, 0.000, 9.899]],
  "species": ["Ca", "Nd", "Ac", "Mg"],
  "frac_coords": [[0.000, 0.000, 0.112], [0.000, 0.000, 0.538], [0.500, 0.500, 0.806], [0.500, 0.500, 0.329]],
  "relative_energy_kj_per_mol_fu": 0.0,
  "space_group": "P4mm, No. 99",
  "rho_kg_m3": 4986,
  "e_form_ev_per_atom": -0.02
}

=====

{
  "formula": "BeTe2",
  "functional": "PBE-GGA",
  "state": "relaxed",
  "lattice_angstrom": [[-5.913, -2.113, -2.846], [-5.207, -4.515, 0.165], [-2.612, 5.151, 4.722]],
  "species": ["Be", "Be", "Te", "Te", "Te", "Te"],
  "frac_coords": [[0.419, 0.419, 0.346], [0.921, 0.921, 0.168], [0.315, 0.315, 0.039], [0.568, 0.568, 0.199], [0.697, 0.697, 0.543], [0.914, 0.914, 0.538]],
  "relative_energy_kj_per_mol_fu": 45.9,
  "space_group": "Cm, No. 8",
  "rho_kg_m3": 4619
}

=====

{
  "formula": "ZnP4Ru",
  "functional": "PBE-GGA",
  "state": "relaxed",
  "lattice_angstrom": [[0.795, -0.353, 4.900], [-3.795, -0.955, 3.074], [-0.319, -4.422, 2.261]],
  "species": ["P", "P", "P", "P", "Zn", "Ru"],
  "frac_coords": [[0.374, 0.374, 0.374], [0.374, 0.879, 0.374], [0.374, 0.374, 0.879], [0.879, 0.374, 0.374], [0.000, 0.000, 0.000], [0.750, 0.750, 0.750]],
  "space_group": "F-43m, No. 216",
  "rho_kg_m3": 5534,
  "e_form_ev_per_atom": 0.73
}

=====

{
  "formula": "Y2ErCd2",
  "functional": "PBE-GGA",
  "state": "relaxed",
  "lattice_angstrom": [[3.704, 0.000, -0.497], [0.000, 5.319, 0.000], [-0.037, 0.000, 13.826]],
  "species": ["Y", "Y", "Y", "Y", "Cd", "Cd", "Cd", "Cd", "Er", "Er"],
  "frac_coords": [[0.954, 0.250, 0.908], [0.765, 0.250, 0.528], [0.235, 0.750, 0.472], [0.046, 0.750, 0.092], [0.359, 0.250, 0.717], [0.448, 0.750, 0.896], [0.641, 0.750, 0.283], [0.552, 0.250, 0.104], [0.851, 0.750, 0.703], [0.149, 0.250, 0.297]],
  "relative_energy_kj_per_mol_fu": 0.0,
  "space_group": "P2_1/m, No. 11",
  "rho_kg_m3": 6951,
  "e_form_ev_per_atom": -0.27
}

=====

{
  "formula": "TcSnSeN2",
  "functional": "PBE-GGA",
  "state": "relaxed",
  "lattice_angstrom": [[-3.763, -0.948, -1.042], [1.253, -0.899, -3.710], [0.927, -5.481, 1.641]],
  "species": ["Sn", "Se", "Tc", "N", "N"],
  "frac_coords": [[0.000, 0.000, 0.000], [0.000, 0.000, 0.500], [0.500, 0.500, 0.500], [0.500, 0.000, 0.000], [0.000, 0.500, 0.000]],
  "relative_energy_kj_per_mol_fu": 558.0,
  "space_group": "P4/mmm, No. 123",
  "rho_kg_m3": 5744
}

=====

{
  "formula": "Tl2HCl",
  "functional": "PBE-GGA",
  "state": "relaxed",
  "lattice_angstrom": [[-3.365, 0.624, -1.397], [-0.909, -5.171, -0.119], [-1.974, 0.235, 4.860]],
  "species": ["Tl", "Tl", "Cl", "H"],
  "frac_coords": [[0.000, 0.500, 0.000], [0.000, 0.000, 0.500], [0.500, 0.000, 0.000], [0.500, 0.500, 0.500]],
  "relative_energy_kj_per_mol_fu": 36.3,
  "space_group": "P4/mmm, No. 123",
  "rho_kg_m3": 7252
}

=====

{
  "formula": "BaCl",
  "functional": "PBE-GGA",
  "state": "relaxed",
  "lattice_angstrom": [[-3.138, -1.805, 2.200], [3.685, 0.875, 1.897], [-1.567, 4.119, 1.144]],
  "species": ["Cl", "Ba"],
  "frac_coords": [[0.667, 0.333, 0.500], [0.000, 0.000, 0.000]],
  "space_group": "P-6m2, No. 187",
  "rho_kg_m3": 4055,
  "total_energy_ev_per_atom": -3.59
}

=====

{
  "formula": "CrHS2Cl",
  "functional": "PBE-GGA",
  "state": "relaxed",
  "lattice_angstrom": [[3.654, 0.000, 0.000], [0.000, 3.654, 0.000], [0.000, 0.000, 6.163]],
  "species": ["S", "S", "H", "Cl", "Cr"],
  "frac_coords": [[0.000, 0.500, 0.000], [0.500, 0.000, 0.000], [0.000, 0.000, 0.000], [0.000, 0.000, 0.500], [0.500, 0.500, 0.500]],
  "relative_energy_kj_per_mol_fu": 12.0,
  "space_group": "P4/mmm, No. 123",
  "rho_kg_m3": 3080
}